NpCd2FeO6: optimized geometry, GGA+U.

a b c (Å): 5.600 5.640 5.841
angles (deg): 90.82 118.46 119.17
Space group P-1 (No. 2)
One atom of each set of equivalent atoms:
Np  0.000  0.000  0.000 (multiplicity 1)
Cd  0.457  0.232  0.680 (multiplicity 2)
Fe  0.000  0.500  0.500 (multiplicity 1)
O  0.102  0.233  0.751 (multiplicity 2)
O  0.121  0.359  0.264 (multiplicity 2)
O  0.485  0.129  0.255 (multiplicity 2)

Calculated values
Uncorrected energy: -6.83 eV per atom
Total magnetization: 4.999 Bohr magnetons per cell

=====

CdFe3O: optimized geometry, GGA+U.

a b c (Å): 5.063 5.063 5.063
angles (deg): 90.00 90.00 90.00
Space group Pm-3m (No. 221)
One atom of each set of equivalent atoms:
Cd  0.000  0.000  0.000 (multiplicity 1)
Fe  0.000  0.000  0.500 (multiplicity 3)
O  0.500  0.500  0.500 (multiplicity 1)

Calculated values
Uncorrected energy: -2.96 eV per atom
Total magnetization: 12.502 Bohr magnetons per cell

=====

CdFeO2: optimized geometry, GGA+U.

a b c (Å): 3.2033 3.2033 16.3843
angles (deg): 90.00 90.00 120.00
Space group R3m (No. 160, hexagonal axes)
One atom of each set of equivalent atoms:
Cd  0.0000  0.0000  0.0000 (multiplicity 3)
Fe  0.0000  0.0000  0.1688 (multiplicity 3)
O  0.0000  0.0000  0.5752 (multiplicity 3)
O  0.0000  0.0000  0.7625 (multiplicity 3)

Calculated values
Uncorrected energy: -5.21 eV per atom
Total magnetization: 12.043 Bohr magnetons per cell

=====

CdFeO2: optimized geometry, GGA+U.

a b c (Å): 2.9401 2.9401 19.4766
angles (deg): 90.00 90.00 120.00
Space group R-3m (No. 166, hexagonal axes)
One atom of each set of equivalent atoms:
Cd  0.0000  0.0000  0.0000 (multiplicity 3)
Fe  0.0000  0.0000  0.5000 (multiplicity 3)
O  0.0000  0.0000  0.1167 (multiplicity 6)

Calculated values
Uncorrected energy: -4.78 eV per atom
Total magnetization: 2.655 Bohr magnetons per cell

=====

CdFe2O4: optimized geometry, GGA+U.

a b c (Å): 9.389 3.037 10.863
angles (deg): 90.00 90.00 90.00
Space group Pnma (No. 62)
One atom of each set of equivalent atoms:
Cd  0.243  0.250  0.156 (multiplicity 4)
Fe  0.062  0.250  0.386 (multiplicity 4)
Fe  0.085  0.250  0.896 (multiplicity 4)
O  0.032  0.750  0.784 (multiplicity 4)
O  0.083  0.250  0.571 (multiplicity 4)
O  0.117  0.750  0.026 (multiplicity 4)
O  0.203  0.750  0.338 (multiplicity 4)

Calculated values
Excess energy over the best structure of this formula in the dataset: 0.068 eV/atom
Uncorrected energy: -5.89 eV per atom
Total magnetization: 40.000 Bohr magnetons per cell

=====

Cd2FeO: optimized geometry, GGA+U.

a b c (Å): 9.318 9.318 3.802
angles (deg): 90.00 90.00 90.00
Space group I-42d (No. 122)
One atom of each set of equivalent atoms:
Cd  0.134  0.250  0.125 (multiplicity 8)
Fe  0.000  0.000  0.500 (multiplicity 4)
O  0.000  0.000  0.000 (multiplicity 4)

Calculated values
Uncorrected energy: -3.35 eV per atom
Total magnetization: 15.325 Bohr magnetons per cell

=====

CdFeO2: optimized geometry, GGA+U.

a b c (Å): 3.3879 3.3879 18.0768
angles (deg): 90.00 90.00 120.00
Space group R-3m (No. 166, hexagonal axes)
One atom of each set of equivalent atoms:
Cd  0.0000  0.0000  0.0000 (multiplicity 3)
Fe  0.0000  0.0000  0.5000 (multiplicity 3)
O  0.0000  0.0000  0.4011 (multiplicity 6)

Calculated values
Uncorrected energy: -4.92 eV per atom
Total magnetization: 12.000 Bohr magnetons per cell

=====

CdFe2O4: optimized geometry, GGA+U.

a b c (Å): 3.4426 3.4426 26.1415
angles (deg): 90.00 90.00 120.00
Space group R-3m (No. 166, hexagonal axes)
One atom of each set of equivalent atoms:
Cd  0.0000  0.0000  0.0000 (multiplicity 3)
Fe  0.0000  0.0000  0.2165 (multiplicity 6)
O  0.0000  0.0000  0.1316 (multiplicity 6)
O  0.0000  0.0000  0.2865 (multiplicity 6)

Calculated values
Excess energy over the best structure of this formula in the dataset: 0.110 eV/atom
Uncorrected energy: -5.84 eV per atom
Total magnetization: 29.992 Bohr magnetons per cell